The following is a DFT calculation (PBE) of a relaxed structure of Ba3NaPu2O9.

Space-group type ... No. 164
Calculated volume ... 16.4 Å³/atom
ΔE_f (raw) ... -2710 meV/atom

The structure in CIF format:
```
data_Ba3NaPu2O9
_space_group_name_H-M_alt 'P 1'
_space_group_IT_number 1
_space_group_name_Hall 'P 1'
_cell_length_a 6.132
_cell_length_b 6.132
_cell_length_c 7.578
_cell_angle_alpha 90.00
_cell_angle_beta 90.00
_cell_angle_gamma 120.00
loop_
_atom_site_label
_atom_site_type_symbol
_atom_site_fract_x
_atom_site_fract_y
_atom_site_fract_z
Pu1 Pu 0.667 0.333 0.836
Pu2 Pu 0.333 0.667 0.164
O1 O 0.177 0.823 0.320
O2 O 0.823 0.645 0.680
O3 O 0.355 0.177 0.680
O4 O 0.177 0.355 0.320
O5 O 0.823 0.177 0.680
O6 O 0.500 0.500 0.000
O7 O 0.645 0.823 0.320
O8 O 0.000 0.500 0.000
O9 O 0.500 0.000 0.000
Ba1 Ba 0.333 0.667 0.643
Ba2 Ba 0.000 0.000 0.000
Ba3 Ba 0.667 0.333 0.357
Na1 Na 0.000 0.000 0.500
```


The following is a DFT calculation (PBE) of a relaxed structure of Co2TcPtN.

Space-group type ... No. 123
Calculated volume ... 19.0 Å³/atom
Relative energy among the computed polymorphs ... 2.4021 eV per atom
ΔE_f (raw) ... 2428 meV/atom

The structure in CIF format:
```
data_Co2TcPtN
_space_group_name_H-M_alt 'P 1'
_space_group_IT_number 1
_space_group_name_Hall 'P 1'
_cell_length_a 4.444
_cell_length_b 4.817
_cell_length_c 4.444
_cell_angle_alpha 90.00
_cell_angle_beta 90.00
_cell_angle_gamma 90.00
loop_
_atom_site_label
_atom_site_type_symbol
_atom_site_fract_x
_atom_site_fract_y
_atom_site_fract_z
Co1 Co 0.500 0.000 0.000
Co2 Co 0.000 0.000 0.500
Tc1 Tc 0.000 0.000 0.000
Pt1 Pt 0.000 0.500 0.000
N1 N 0.500 0.500 0.500
```


The following is a DFT calculation (PBE) of a relaxed structure of RbHf2Au.

Space-group type ... No. 122
Calculated volume ... 37.6 Å³/atom
Relative energy among the computed polymorphs ... 0.1106 eV per atom

The structure in CIF format:
```
data_RbHf2Au
_space_group_name_H-M_alt 'P 1'
_space_group_IT_number 1
_space_group_name_Hall 'P 1'
_cell_length_a 5.658
_cell_length_b 5.658
_cell_length_c 10.219
_cell_angle_alpha 73.93
_cell_angle_beta 73.93
_cell_angle_gamma 90.00
loop_
_atom_site_label
_atom_site_type_symbol
_atom_site_fract_x
_atom_site_fract_y
_atom_site_fract_z
Hf1 Hf 0.888 0.625 0.250
Hf2 Hf 0.862 0.125 0.250
Hf3 Hf 0.875 0.112 0.750
Hf4 Hf 0.375 0.138 0.750
Au1 Au 0.750 0.250 0.500
Au2 Au 0.000 0.000 0.000
Rb1 Rb 0.500 0.500 0.000
Rb2 Rb 0.250 0.750 0.500
```


Number 1: total magnetization 5.00 Bohr magnetons per cell. Number 2: total magnetization 4.30 Bohr magnetons per cell. Number 3: total magnetization 0.00 Bohr magnetons per cell.